(1)
TbNi9Sn2: optimized geometry, PBE.

Output
- Calculated volume: 166.1 Å³/f.u.
- Space-group type: R-3m (166)
- Electronic total energy: -67.33 eV per cell
- Calculated formation energy: -0.22 eV per atom

Cell: 4.9353 4.9353 8.3743 Å, 72.86 72.86 60.00°
Positions (direct):
Sn (0.8621, 0.8621, 0.4138)
Ni (0.3338, 0.3338, 0.9986)
Ni (0.5000, 0.5000, 0.5000)
Ni (0.5864, 0.5864, 0.7467)
Ni (0.4136, 0.4136, 0.2533)
Tb (0.0000, 0.0000, 0.0000)
Ni (0.4136, 0.9195, 0.2533)
Ni (0.9195, 0.4136, 0.2533)
Ni (0.0805, 0.5864, 0.7467)
Ni (0.6662, 0.6662, 0.0014)
Sn (0.1379, 0.1379, 0.5862)
Ni (0.5864, 0.0805, 0.7467)

(2)
TbNiSn: optimized geometry, PBE.

Output
- Calculated volume: 62.0 Å³/f.u.
- Space-group type: Pmma (51)
- Electronic total energy: -97.60 eV per cell
- Calculated formation energy: -0.62 eV per atom

Cell: 3.7586 7.4504 13.2768 Å, 90.00 90.00 90.00°
Positions (direct):
Sn (0.5000, 0.8111, 0.2500)
Ni (0.5000, 0.0580, 0.4093)
Sn (0.5000, 0.1889, 0.7500)
Tb (0.0000, 0.2281, 0.5463)
Tb (0.0000, 0.1454, 0.2500)
Tb (0.0000, 0.8546, 0.7500)
Sn (0.5000, 0.4222, 0.3731)
Sn (0.5000, 0.5778, 0.6269)
Tb (0.0000, 0.7719, 0.0463)
Tb (0.0000, 0.2281, 0.9537)
Sn (0.5000, 0.5778, 0.8731)
Ni (0.5000, 0.0580, 0.0907)
Ni (0.5000, 0.9420, 0.9093)
Sn (0.5000, 0.4222, 0.1269)
Tb (0.0000, 0.7719, 0.4537)
Ni (0.0000, 0.4424, 0.7500)
Ni (0.5000, 0.9420, 0.5907)
Ni (0.0000, 0.5576, 0.2500)

(3)
Tb3NiSn: optimized geometry, PBE.

Output
- Calculated volume: 139.0 Å³/f.u.
- Space-group type: Pm-3m (221)
- Electronic total energy: -25.41 eV per cell
- Calculated formation energy: -0.35 eV per atom

Cell: 5.1800 5.1800 5.1800 Å, 90.00 90.00 90.00°
Positions (direct):
Sn (0.5000, 0.5000, 0.5000)
Tb (0.0000, 0.5000, 0.0000)
Ni (0.0000, 0.0000, 0.0000)
Tb (0.0000, 0.0000, 0.5000)
Tb (0.5000, 0.0000, 0.0000)

(4)
TbNi3Sn2: optimized geometry, PBE.

Output
- Calculated volume: 106.4 Å³/f.u.
- Space-group type: P-62m (189)
- Electronic total energy: -98.08 eV per cell
- Calculated formation energy: -0.45 eV per atom

Cell: 9.2954 9.2954 4.2639 Å, 90.00 90.00 120.00°
Positions (direct):
Tb (0.6667, 0.3333, 0.5000)
Ni (0.3750, 0.1670, 0.0000)
Sn (0.5303, 0.0000, 0.0000)
Ni (0.7060, 0.0000, 0.5000)
Sn (0.2566, 0.0000, 0.5000)
Ni (0.2080, 0.8330, 0.0000)
Tb (0.0000, 0.0000, 0.0000)
Tb (0.3333, 0.6667, 0.5000)
Ni (0.7920, 0.6250, 0.0000)
Sn (0.0000, 0.2566, 0.5000)
Ni (0.8330, 0.2080, 0.0000)
Sn (0.4697, 0.4697, 0.0000)
Ni (0.1670, 0.3750, 0.0000)
Sn (0.0000, 0.5303, 0.0000)
Ni (0.2940, 0.2940, 0.5000)
Ni (0.0000, 0.7060, 0.5000)
Sn (0.7434, 0.7434, 0.5000)
Ni (0.6250, 0.7920, 0.0000)

(5)
Tb3Ni8Sn: optimized geometry, PBE.

Output
- Calculated volume: 181.7 Å³/f.u.
- Space-group type: R3m (160)
- Electronic total energy: -69.08 eV per cell
- Calculated formation energy: -0.41 eV per atom

Cell: 5.0470 5.0470 8.7364 Å, 73.21 73.21 60.00°
Positions (direct):
Ni (0.4372, 0.9388, 0.1868)
Ni (0.9381, 0.4379, 0.6859)
Ni (0.4379, 0.9381, 0.6859)
Ni (0.1883, 0.1883, 0.4351)
Ni (0.9388, 0.4372, 0.1868)
Sn (0.8710, 0.8710, 0.3869)
Tb (0.9953, 0.9953, 0.0141)
Tb (0.3761, 0.3761, 0.8718)
Tb (0.5035, 0.5035, 0.4895)
Ni (0.9381, 0.9381, 0.6859)
Ni (0.4372, 0.4372, 0.1868)
Ni (0.6885, 0.6885, 0.9346)

(6)
TbNi2Sn8: optimized geometry, PBE.

Output
- Calculated volume: 300.3 Å³/f.u.
- Space-group type: P4/mmm (123)
- Electronic total energy: -49.57 eV per cell
- Calculated formation energy: -0.12 eV per atom

Cell: 6.3343 6.3343 7.4843 Å, 90.00 90.00 90.00°
Positions (direct):
Sn (0.7546, 0.7546, 0.7925)
Sn (0.2454, 0.7546, 0.7925)
Tb (0.5000, 0.5000, 0.5000)
Sn (0.2454, 0.2454, 0.7925)
Sn (0.2454, 0.2454, 0.2075)
Sn (0.7546, 0.7546, 0.2075)
Sn (0.2454, 0.7546, 0.2075)
Ni (0.5000, 0.0000, 0.0000)
Ni (0.0000, 0.5000, 0.0000)
Sn (0.7546, 0.2454, 0.2075)
Sn (0.7546, 0.2454, 0.7925)

Question: Which of these has the lowest calculated volume?
Answer: TbNiSn

Question: Which of these has the lowest electronic total energy?
Answer: TbNi3Sn2

Question: Which of these has the lowest electronic total energy?
Answer: TbNi3Sn2

Question: Which of these has the lowest electronic total energy?
Answer: TbNi3Sn2